Material: SrCa2Nd
Method: DFT, PBE-GGA
State: optimized geometry

Calculated values
Fermi-level density of states = 1.374 states/eV/atom
Symmetry = P4/mmm
E_form = 0.1034 eV/atom
Energy relative to the lowest polymorph listed for this composition = 0.13 eV/f.u.
VASP energy = -2.510 eV per atom

Cell: 6.221 6.221 4.305 Å, 90.00 90.00 90.00°
Sites, in units of the cell vectors:
Sr 0.000 0.000 0.000
Ca 0.000 0.500 0.500
Ca 0.500 0.000 0.500
Nd 0.500 0.500 0.000